a | Computed, not measured: a relaxed PrAlH crystal at the GGA-PBE level of DFT.

a = 4.2022 Å, b = 8.2020 Å, c = 3.1778 Å
α = 90.00°, β = 90.00°, γ = 90.00°
Space group Pma2 (No. 28)
Unique sites:
Pr  0.2500  0.1871  0.0000 [2 per cell]
Al  0.2500  0.5853  0.5002 [2 per cell]
H  0.2500  0.9255  0.5019 [2 per cell]


b | Computed, not measured: a relaxed PrAlH crystal at the GGA-PBE level of DFT.

a = 4.3884 Å, b = 4.3884 Å, c = 23.6108 Å
α = 90.00°, β = 90.00°, γ = 90.00°
Space group P4_122 (No. 91)
Unique sites:
Pr  0.2480  0.2506  0.1804 [8 per cell]
Al  0.2497  0.2621  0.0355 [8 per cell]
H  0.1676  0.2493  0.2810 [8 per cell]


c | Computed, not measured: a relaxed PrAlH crystal at the GGA-PBE level of DFT.

a = 3.2508 Å, b = 3.2508 Å, c = 11.4772 Å
α = 90.00°, β = 90.00°, γ = 90.00°
Space group I4mm (No. 107)
Unique sites:
Pr  0.0000  0.0000  0.0000 [2 per cell]
Al  0.0000  0.0000  0.7169 [2 per cell]
H  0.0000  0.0000  0.4582 [2 per cell]


Least stable structure: c


a | Computed, not measured: a relaxed Al2HPt crystal at the GGA-PBE level of DFT.

a = 5.9629 Å, b = 5.9629 Å, c = 5.9629 Å
α = 90.00°, β = 90.00°, γ = 90.00°
Space group Fm-3m (No. 225)
Unique sites:
Al  0.2500  0.2500  0.2500 [8 per cell]
H  0.0000  0.0000  0.0000 [4 per cell]
Pt  0.0000  0.0000  0.5000 [4 per cell]


b | Computed, not measured: a relaxed Al2HPt crystal at the GGA-PBE level of DFT.

a = 4.7169 Å, b = 4.7169 Å, c = 10.4869 Å
α = 90.00°, β = 90.00°, γ = 90.00°
Space group I-42d (No. 122)
Unique sites:
Al  0.1442  0.2500  0.1250 [8 per cell]
H  0.0000  0.0000  0.0000 [4 per cell]
Pt  0.0000  0.0000  0.5000 [4 per cell]


Least stable structure: b


a | Computed, not measured: a relaxed AlHPt2 crystal at the GGA-PBE level of DFT.

a = 5.8570 Å, b = 5.8570 Å, c = 5.8570 Å
α = 90.00°, β = 90.00°, γ = 90.00°
Space group Fm-3m (No. 225)
Unique sites:
Al  0.0000  0.0000  0.0000 [4 per cell]
H  0.0000  0.0000  0.5000 [4 per cell]
Pt  0.2500  0.2500  0.2500 [8 per cell]


b | Computed, not measured: a relaxed AlHPt2 crystal at the GGA-PBE level of DFT.

a = 6.0490 Å, b = 6.0490 Å, c = 5.3932 Å
α = 90.00°, β = 90.00°, γ = 90.00°
Space group I-42d (No. 122)
Unique sites:
Al  0.0000  0.0000  0.0000 [4 per cell]
H  0.0000  0.0000  0.5000 [4 per cell]
Pt  0.1604  0.2500  0.6250 [8 per cell]


c | Computed, not measured: a relaxed AlHPt2 crystal at the GGA-PBE level of DFT.

a = 4.1202 Å, b = 4.1202 Å, c = 14.7137 Å
α = 90.00°, β = 90.00°, γ = 120.00°
Space group R-3m (No. 166, hexagonal axes)
Unique sites:
Al  0.0000  0.0000  0.0000 [3 per cell]
H  0.0000  0.0000  0.5000 [3 per cell]
Pt  0.0000  0.0000  0.3855 [6 per cell]


Least stable structure: a


a | Computed, not measured: a relaxed Al3HPt crystal at the GGA-PBE level of DFT.

a = 4.7521 Å, b = 4.7521 Å, c = 4.7521 Å
α = 90.00°, β = 90.00°, γ = 90.00°
Space group Pm-3m (No. 221)
Unique sites:
Al  0.0000  0.0000  0.5000 [3 per cell]
H  0.5000  0.5000  0.5000 [1 per cell]
Pt  0.0000  0.0000  0.0000 [1 per cell]


b | Computed, not measured: a relaxed Al3HPt crystal at the GGA-PBE level of DFT.

a = 3.9781 Å, b = 3.9781 Å, c = 3.9781 Å
α = 90.00°, β = 90.00°, γ = 90.00°
Space group Pm-3m (No. 221)
Unique sites:
Al  0.0000  0.0000  0.5000 [3 per cell]
H  0.0000  0.0000  0.0000 [1 per cell]
Pt  0.5000  0.5000  0.5000 [1 per cell]


Least stable structure: a